(1)
First-principles (GGA-PBE) data for a relaxed structure of CoNiBW, as listed in OQMD.

Values from the calculation:
symmetry = No. 216
calculated total energy = -31.42 eV per cell

abc: 3.933 3.933 3.933
angles: 60.00 60.00 60.00
Sites, in units of the cell vectors:
1 Co 0.000 0.000 0.000
2 Ni 0.250 0.250 0.250
3 B 0.750 0.750 0.750
4 W 0.500 0.500 0.500

---

(2)
First-principles (GGA-PBE) data for a relaxed structure of ZnCoNiB, as listed in OQMD.

Values from the calculation:
symmetry = No. 216
calculated total energy = -20.05 eV per cell

abc: 3.830 3.830 3.830
angles: 60.00 60.00 60.00
Sites, in units of the cell vectors:
1 Zn 0.000 0.000 0.000
2 Co 0.250 0.250 0.250
3 Ni 0.750 0.750 0.750
4 B 0.500 0.500 0.500

---

(3)
First-principles (GGA-PBE) data for a relaxed structure of ZnCoNiB, as listed in OQMD.

Values from the calculation:
symmetry = No. 216
calculated total energy = -19.28 eV per cell

abc: 3.855 3.855 3.855
angles: 60.00 60.00 60.00
Sites, in units of the cell vectors:
1 Zn 0.000 0.000 0.000
2 Co 0.500 0.500 0.500
3 Ni 0.750 0.750 0.750
4 B 0.250 0.250 0.250

---

(4)
First-principles (GGA-PBE) data for a relaxed structure of NpCo12B6, as listed in OQMD.

Values from the calculation:
symmetry = No. 166
calculated total energy = -142.72 eV per cell

abc: 5.940 5.940 5.940
angles: 104.39 104.39 104.39
Sites, in units of the cell vectors:
1 Np 0.000 0.000 0.000
2 Co 0.133 0.500 0.867
3 Co 0.133 0.867 0.500
4 Co 0.184 0.448 0.448
5 Co 0.448 0.184 0.448
6 Co 0.448 0.448 0.184
7 Co 0.500 0.133 0.867
8 Co 0.500 0.867 0.133
9 Co 0.552 0.552 0.816
10 Co 0.552 0.816 0.552
11 Co 0.816 0.552 0.552
12 Co 0.867 0.133 0.500
13 Co 0.867 0.500 0.133
14 B 0.232 0.232 0.679
15 B 0.232 0.679 0.232
16 B 0.321 0.768 0.768
17 B 0.679 0.232 0.232
18 B 0.768 0.321 0.768
19 B 0.768 0.768 0.321

---

> Which of these has the highest calculated total energy?

number 3

---

> The lowest calculated total energy belongs to which entry?

NpCo12B6

---

> Which value of calculated total energy does entry 2 give?

-20.05 eV per cell

---

Please write out number 2 again, unchanged.
First-principles (GGA-PBE) data for a relaxed structure of ZnCoNiB, as listed in OQMD.

Values from the calculation:
symmetry = No. 216
calculated total energy = -20.05 eV per cell

abc: 3.830 3.830 3.830
angles: 60.00 60.00 60.00
Sites, in units of the cell vectors:
1 Zn 0.000 0.000 0.000
2 Co 0.250 0.250 0.250
3 Ni 0.750 0.750 0.750
4 B 0.500 0.500 0.500